Density functional theory data (PBE-GGA) for a relaxed YSeClO4 crystal.

* electronic total energy: -6.2091 eV per atom
* magnetization: 0.00 μB per formula unit
* uncorrected formation energy: -11.84 eV per formula unit

abc: 6.1530 6.1530 6.6897
angles: 78.23 78.23 71.23
Closest atoms and distances in Å follow each position.
Fractional positions:
O: 0.1338 0.4888 0.1385  1 Se 1.70
O: 0.5303 0.5303 0.2449  1 Se 1.64
Y: 0.2216 0.2216 0.8746  6 O 2.34-2.52
O: 0.4697 0.4697 0.7551  1 Se 1.64
O: 0.4888 0.1338 0.1385  1 Se 1.70
O: 0.2741 0.2741 0.5130  1 Se 1.64
O: 0.8662 0.5112 0.8615  1 Se 1.70
Cl: 0.9807 0.9807 0.7673  2 Y 2.68-2.72, 1 O 3.00
O: 0.5112 0.8662 0.8615  1 Se 1.70
O: 0.7259 0.7259 0.4870  1 Se 1.64
Se: 0.3628 0.3628 0.2705  4 O 1.64-1.70
Cl: 0.0193 0.0193 0.2327  2 Y 2.68-2.72, 1 O 3.00
Se: 0.6372 0.6372 0.7295  4 O 1.64-1.70
Y: 0.7784 0.7784 0.1254  6 O 2.34-2.52